Record 1
# Li2MoO3, relaxed, DFT GGA+U
data_Li2MoO3
_chemical_formula_sum 'Li16 Mo8 O24'
_symmetry_space_group_name_H-M 'P 1'
_symmetry_Int_Tables_number 1
_symmetry_space_group_name_Hall 'P 1'
_cell_length_a 6.1492
_cell_length_b 6.1607
_cell_length_c 13.4713
_cell_angle_alpha 103.01
_cell_angle_beta 102.93
_cell_angle_gamma 90.39
loop_
_atom_site_label
_atom_site_fract_x
_atom_site_fract_y
_atom_site_fract_z
Li1 0.0000 0.0000 0.0000
Li2 0.0021 0.5094 0.4975
Li3 0.0309 0.5245 0.0028
Li4 0.1535 0.1529 0.8316
Li5 0.1683 0.1708 0.3310
Li6 0.1741 0.6616 0.8407
Li7 0.2912 0.8224 0.6656
Li8 0.3247 0.8317 0.1572
Li9 0.3389 0.3411 0.6635
Li10 0.4763 0.4804 0.5016
Li11 0.4954 0.0135 0.5029
Li12 0.5030 0.5138 0.0045
Li13 0.6686 0.1726 0.3286
Li14 0.8158 0.8387 0.6584
Li15 0.8339 0.3318 0.1549
Li16 0.8456 0.8762 0.1599
Mo1 0.0084 0.0276 0.5017
Mo2 0.1648 0.6719 0.3300
Mo3 0.3268 0.3116 0.1613
Mo4 0.4861 0.0019 0.9973
Mo5 0.6614 0.1753 0.8331
Mo6 0.6642 0.6736 0.3310
Mo7 0.6640 0.6760 0.8315
Mo8 0.8458 0.3484 0.6623
O1 0.0566 0.5700 0.6636
O2 0.0764 0.1061 0.6672
O3 0.0942 0.0996 0.1671
O4 0.1054 0.5739 0.1717
O5 0.2261 0.7720 0.4933
O6 0.2346 0.2494 0.4977
O7 0.2525 0.2406 0.9953
O8 0.2651 0.7658 0.9986
O9 0.4121 0.9158 0.8261
O10 0.4139 0.4291 0.3329
O11 0.4158 0.8956 0.3339
O12 0.4359 0.4375 0.8291
O13 0.5684 0.5727 0.1733
O14 0.5751 0.0941 0.1657
O15 0.5981 0.5799 0.6665
O16 0.6152 0.1237 0.6637
O17 0.7276 0.2418 0.9988
O18 0.7365 0.7676 0.9934
O19 0.7582 0.2554 0.5015
O20 0.7615 0.7784 0.4916
O21 0.8897 0.9141 0.8286
O22 0.9101 0.4253 0.8276
O23 0.9150 0.4541 0.3341
O24 0.9179 0.9177 0.3312
# **Uncorrected energy**: -6.18 eV/atom
# **Energy above the lowest structure with this stoichiometry**: 8 meV/atom

Record 2
# LiMo3O, relaxed, DFT GGA+U
data_LiMo3O
_chemical_formula_sum 'Li1 Mo3 O1'
_symmetry_space_group_name_H-M 'P m -3 m'
_symmetry_Int_Tables_number 221
_symmetry_space_group_name_Hall '-P 4 2 3'
_cell_length_a 4.1483
_cell_length_b 4.1483
_cell_length_c 4.1483
_cell_angle_alpha 90.00
_cell_angle_beta 90.00
_cell_angle_gamma 90.00
loop_
_atom_site_label
_atom_site_fract_x
_atom_site_fract_y
_atom_site_fract_z
Li1 0.0000 0.0000 0.0000
Mo1 0.0000 0.5000 0.5000
O1 0.5000 0.5000 0.5000
# **D(E_F)**: 3.39 states/eV/f.u.
# **Uncorrected energy**: -4.86 eV/atom
# **Energy above the lowest structure with this stoichiometry**: 0 meV/atom

Record 3
# LiMo2O4, relaxed, DFT GGA+U
data_LiMo2O4
_chemical_formula_sum 'Li8 Mo16 O32'
_symmetry_space_group_name_H-M 'C 1 2/c 1'
_symmetry_Int_Tables_number 15
_symmetry_space_group_name_Hall '-C 2yc'
_cell_length_a 10.8673
_cell_length_b 6.3866
_cell_length_c 10.9573
_cell_angle_alpha 90.00
_cell_angle_beta 108.39
_cell_angle_gamma 90.00
loop_
_atom_site_label
_atom_site_fract_x
_atom_site_fract_y
_atom_site_fract_z
Li1 0.1909 0.2393 0.3161
Mo1 0.0000 0.0000 0.0000
Mo2 0.0000 0.2664 0.7500
Mo3 0.0000 0.5000 0.0000
Mo4 0.2500 0.2500 0.0000
O1 0.1058 0.2615 0.6114
O2 0.1232 0.2540 0.1069
O3 0.1225 0.4877 0.8887
O4 0.1240 0.0411 0.8794
# **Uncorrected energy**: -6.88 eV/atom
# **Energy above the lowest structure with this stoichiometry**: 0 meV/atom